Record 1
! PBE NbCrAs3, optimized geometry; values from VASP
&SYSTEM
  ibrav = 0, nat = 5, ntyp = 3
/
ATOMIC_SPECIES
Cr 52.00 Cr.upf
Nb 92.91 Nb.upf
As 74.92 As.upf
CELL_PARAMETERS angstrom
-1.160 -3.436 -2.917
4.504 -0.992 -0.624
-0.161 -2.979 3.572
ATOMIC_POSITIONS crystal
Cr 0.000 0.000 0.000
Nb 0.500 0.500 0.500
As 0.000 0.500 0.000
As 0.000 0.000 0.500
As 0.500 0.000 0.000
! Total magnetization = 4.1 μB/f.u.
! Excess energy over the best structure of this formula in the dataset = 0 meV per atom
! Symmetry = Pm-3m, No. 221
! Crystal system = cubic


Record 2
! PBE NbCrAs2S, optimized geometry; values from VASP
&SYSTEM
  ibrav = 0, nat = 5, ntyp = 4
/
ATOMIC_SPECIES
S 32.06 S.upf
Cr 52.00 Cr.upf
Nb 92.91 Nb.upf
As 74.92 As.upf
CELL_PARAMETERS angstrom
4.764 0.000 0.000
0.000 4.277 0.000
0.000 0.000 4.764
ATOMIC_POSITIONS crystal
S 0.000 0.500 0.000
Cr 0.000 0.000 0.000
Nb 0.500 0.500 0.500
As 0.000 0.000 0.500
As 0.500 0.000 0.000
! Total magnetization = 3.4 μB/f.u.
! Formation energy without anion corrections = 0.529 eV per atom
! Excess energy over the best structure of this formula in the dataset = 0 meV per atom
! Symmetry = P4/mmm, No. 123
! Crystal system = tetragonal


Record 3
! PBE NbCrAs2S, optimized geometry; values from VASP
&SYSTEM
  ibrav = 0, nat = 5, ntyp = 4
/
ATOMIC_SPECIES
S 32.06 S.upf
Cr 52.00 Cr.upf
Nb 92.91 Nb.upf
As 74.92 As.upf
CELL_PARAMETERS angstrom
-4.402 0.394 2.188
-1.547 -3.715 -2.445
1.522 -3.004 3.603
ATOMIC_POSITIONS crystal
S 0.500 0.500 0.500
Cr 0.000 0.500 0.000
Nb 0.000 0.000 0.000
As 0.000 0.000 0.500
As 0.500 0.000 0.000
! Total magnetization = 0.1 μB/f.u.
! Formation energy without anion corrections = 1.115 eV per atom
! Excess energy over the best structure of this formula in the dataset = 586 meV per atom
! Symmetry = P4/mmm, No. 123
! Crystal system = tetragonal


Record 4
! PBE Nb2CrSbAs, optimized geometry; values from VASP
&SYSTEM
  ibrav = 0, nat = 5, ntyp = 4
/
ATOMIC_SPECIES
Sb 121.76 Sb.upf
Nb 92.91 Nb.upf
As 74.92 As.upf
Cr 52.00 Cr.upf
CELL_PARAMETERS angstrom
-0.464 4.219 2.759
-3.923 -1.607 1.797
2.610 -2.169 3.756
ATOMIC_POSITIONS crystal
Sb 0.000 0.000 0.000
Nb 0.000 0.000 0.500
Nb 0.500 0.000 0.000
As 0.500 0.500 0.500
Cr 0.000 0.500 0.000
! Total magnetization = 0.2 μB/f.u.
! Formation energy without anion corrections = 1.649 eV per atom
! Excess energy over the best structure of this formula in the dataset = 0 meV per atom
! Symmetry = P4/mmm, No. 123
! Crystal system = tetragonal